No. 1
A geometry-optimized ErSc2O structure. Source: Alexandria, functional PBE-GGA.

## Properties
volume	18.36	A^3/atom
VASP energy	-0.4705	Ry per atom
Fermi-level density of states	5.79	states/eV per cell
formation energy from raw total energies	-0.8557	eV/atom
size of the total moment	0.359	Bohr magnetons per cell

The structure in POSCAR format:
```
ErSc2O
1.0
2.991 0.000 0.000
0.000 2.991 0.000
0.000 0.000 8.205
Er Sc O
1 2 1
direct
0.000 0.000 0.000
0.500 0.500 0.328
0.500 0.500 0.672
0.000 0.000 0.500
```

---

No. 2
A geometry-optimized HfZn2Ga2 structure. Source: Alexandria, functional PBE-GGA.

## Properties
ΔE_f	-90	meV/atom
volume	16.97	A^3/atom
VASP energy	-0.2794	Ry per atom
Fermi-level density of states	3.52	states/eV per cell
size of the total moment	0.000	Bohr magnetons per cell

The structure in POSCAR format:
```
HfZn2Ga2
1.0
7.443 0.000 0.000
0.000 7.443 0.000
0.000 0.000 3.064
Hf Zn Ga
2 4 4
direct
0.000 0.000 0.000
0.500 0.500 0.000
0.121 0.379 0.000
0.379 0.879 0.000
0.621 0.121 0.000
0.879 0.621 0.000
0.179 0.679 0.500
0.321 0.179 0.500
0.679 0.821 0.500
0.821 0.321 0.500
```

---

No. 3
A geometry-optimized CaScRh structure. Source: Alexandria, functional PBE-GGA.

## Properties
ΔE_f	-543	meV/atom
volume	23.55	A^3/atom
VASP energy	-0.4242	Ry per atom
Fermi-level density of states	7.44	states/eV per cell
size of the total moment	0.000	Bohr magnetons per cell

The structure in POSCAR format:
```
CaScRh
1.0
4.309 0.000 0.000
0.000 4.309 0.000
0.000 0.000 15.220
Ca Sc Rh
4 4 4
direct
0.000 0.000 0.180
0.000 0.000 0.820
0.500 0.500 0.320
0.500 0.500 0.680
0.000 0.500 0.000
0.000 0.500 0.500
0.500 0.000 0.000
0.500 0.000 0.500
0.000 0.000 0.391
0.000 0.000 0.609
0.500 0.500 0.109
0.500 0.500 0.891
```

---

No. 4
A geometry-optimized Sc2In2Ag structure. Source: Alexandria, functional PBE-GGA.

## Properties
ΔE_f	-91	meV/atom
volume	24.13	A^3/atom
VASP energy	-0.3152	Ry per atom
Fermi-level density of states	9.47	states/eV per cell
size of the total moment	0.000	Bohr magnetons per cell

The structure in POSCAR format:
```
Sc2In2Ag
1.0
7.256 0.000 0.000
0.000 7.256 0.000
0.000 0.000 4.584
Sc In Ag
4 4 2
direct
0.149 0.351 0.000
0.351 0.851 0.000
0.649 0.149 0.000
0.851 0.649 0.000
0.154 0.654 0.500
0.346 0.154 0.500
0.654 0.846 0.500
0.846 0.346 0.500
0.000 0.000 0.000
0.500 0.500 0.000
```

---

No. 5
A geometry-optimized Tb3Zn7Pd2 structure. Source: Alexandria, functional PBE-GGA.

## Properties
ΔE_f	-452	meV/atom
volume	18.39	A^3/atom
VASP energy	-0.2366	Ry per atom
Fermi-level density of states	8.57	states/eV per cell
size of the total moment	0.000	Bohr magnetons per cell

The structure in POSCAR format:
```
Tb3Zn7Pd2
1.0
2.699 1.558 8.750
-2.699 1.558 8.750
0.000 -3.116 8.750
Tb Zn Pd
3 7 2
direct
0.000 0.000 0.000
0.144 0.144 0.144
0.856 0.856 0.856
0.079 0.583 0.583
0.417 0.417 0.921
0.417 0.921 0.417
0.500 0.500 0.500
0.583 0.079 0.583
0.583 0.583 0.079
0.921 0.417 0.417
0.334 0.334 0.334
0.666 0.666 0.666
```

---

No. 6
A geometry-optimized AcLaPr4Er2 structure. Source: Alexandria, functional PBE-GGA.

## Properties
ΔE_f	35	meV/atom
volume	35.99	A^3/atom
VASP energy	-0.3399	Ry per atom
Fermi-level density of states	28.01	states/eV per cell
size of the total moment	0.000	Bohr magnetons per cell

The structure in POSCAR format:
```
AcLaPr4Er2
1.0
11.742 0.000 0.000
0.000 5.230 0.000
-4.704 0.000 9.377
Ac La Pr Er
2 2 8 4
direct
0.000 0.000 0.000
0.500 0.500 0.000
0.000 0.000 0.500
0.500 0.500 0.500
0.249 0.000 0.872
0.249 0.500 0.622
0.251 0.000 0.378
0.251 0.500 0.128
0.749 0.000 0.622
0.749 0.500 0.872
0.751 0.000 0.128
0.751 0.500 0.378
0.001 0.500 0.746
0.499 0.000 0.254
0.501 0.000 0.746
0.999 0.500 0.254
```

---

No. 7
A geometry-optimized Rb3CaMn2Br9 structure. Source: Alexandria, functional PBE-GGA.

## Properties
volume	33.31	A^3/atom
VASP energy	-0.2913	Ry per atom
Fermi-level density of states	0.00	states/eV per cell
formation energy from raw total energies	-1.4097	eV/atom
size of the total moment	10.000	Bohr magnetons per cell

The structure in POSCAR format:
```
Rb3CaMn2Br9
1.0
7.771 0.000 0.000
-3.886 6.730 0.000
0.000 0.000 9.552
Rb Ca Mn Br
3 1 2 9
direct
0.000 0.000 0.000
0.333 0.667 0.678
0.667 0.333 0.322
0.000 0.000 0.500
0.333 0.667 0.161
0.667 0.333 0.839
0.000 0.500 0.000
0.172 0.344 0.324
0.172 0.828 0.324
0.344 0.172 0.676
0.500 0.000 0.000
0.500 0.500 0.000
0.656 0.828 0.324
0.828 0.172 0.676
0.828 0.656 0.676
```

---

No. 8
A geometry-optimized SrNiH2N structure. Source: Alexandria, functional PBE-GGA.

## Properties
volume	10.23	A^3/atom
VASP energy	-0.3488	Ry per atom
Fermi-level density of states	2.84	states/eV per cell
size of the total moment	0.000	Bohr magnetons per cell

The structure in POSCAR format:
```
SrNiH2N
1.0
3.681 0.000 0.000
0.000 3.681 0.000
0.000 0.000 3.776
Sr Ni H N
1 1 2 1
direct
0.000 0.000 0.000
0.500 0.500 0.500
0.000 0.500 0.500
0.500 0.000 0.500
0.500 0.500 0.000
```

---

- Look up the Fermi-level density of states of the eighth one.
  2.84 states/eV per cell

---

Repeat the fourth record exactly.
A geometry-optimized Sc2In2Ag structure. Source: Alexandria, functional PBE-GGA.

## Properties
ΔE_f	-91	meV/atom
volume	24.13	A^3/atom
VASP energy	-0.3152	Ry per atom
Fermi-level density of states	9.47	states/eV per cell
size of the total moment	0.000	Bohr magnetons per cell

The structure in POSCAR format:
```
Sc2In2Ag
1.0
7.256 0.000 0.000
0.000 7.256 0.000
0.000 0.000 4.584
Sc In Ag
4 4 2
direct
0.149 0.351 0.000
0.351 0.851 0.000
0.649 0.149 0.000
0.851 0.649 0.000
0.154 0.654 0.500
0.346 0.154 0.500
0.654 0.846 0.500
0.846 0.346 0.500
0.000 0.000 0.000
0.500 0.500 0.000
```